Material: CsLiHgI2
Method: DFT, SCAN
State: single point on PBEsol structure

Unit cell a=6.751 b=6.751 c=6.101 alpha=90.00 beta=90.00 gamma=90.00
Space group P4/mmm (No. 123)
Asymmetric unit:
Cs 0.000 0.000 0.000 x1
Li 0.500 0.500 0.000 x1
Hg 0.000 0.000 0.500 x1
I 0.000 0.500 0.500 x2

- formation energy from raw total energies (meV per atom) = -412
- calculated density (Mg/m³) = 3.549
- V (Å³ per cell) = 278.0
- crystal system = tetragonal